# Pm2Cu2Ge3

A geometry-optimized Pm2Cu2Ge3 structure (PBE, the Alexandria database).

abc: 4.1829 5.5217 6.8534
angles: 108.36 90.00 112.26
Fractional coordinates of all 7 atoms:
Pm: 0.1453 0.2906 0.7852
Pm: 0.8547 0.7094 0.2148
Ge: 0.3942 0.7883 0.5588
Ge: 0.5000 0.0000 0.0000
Ge: 0.6058 0.2117 0.4412
Cu: 0.8438 0.6876 0.7204
Cu: 0.1562 0.3124 0.2796

Results
Space-group type: C2/m (12)
Energy relative to the elements, kJ/mol of atoms: -47.1
Raw total energy, eV/atom: -4.995
Calculated volume, A^3/atom: 19.68
N(E_F), states/eV/f.u.: 2.67

***

# Pm12CuGe7

A geometry-optimized Pm12CuGe7 structure (PBE, the Alexandria database).

abc: 9.0379 9.0379 9.0379
angles: 109.38 109.38 109.38
Fractional coordinates of all 20 atoms:
Pm: 0.8675 0.3414 0.7248
Pm: 0.5988 0.9046 0.6827
Pm: 0.7248 0.8675 0.3414
Pm: 0.9046 0.6827 0.5988
Pm: 0.3414 0.7248 0.8675
Pm: 0.3173 0.4012 0.0954
Pm: 0.6586 0.2752 0.1325
Pm: 0.6827 0.5988 0.9046
Pm: 0.4012 0.0954 0.3173
Pm: 0.2752 0.1325 0.6586
Pm: 0.1325 0.6586 0.2752
Pm: 0.0954 0.3173 0.4012
Ge: 0.0280 0.9374 0.2640
Ge: 0.2640 0.0280 0.9374
Ge: 0.9720 0.0626 0.7360
Ge: 0.5000 0.5000 0.5000
Ge: 0.9374 0.2640 0.0280
Ge: 0.7360 0.9720 0.0626
Ge: 0.0626 0.7360 0.9720
Cu: 0.0000 0.0000 0.0000

Results
Space-group type: R-3 (148)
Energy relative to the elements, kJ/mol of atoms: -43.4
Raw total energy, eV/atom: -5.121
Calculated volume, A^3/atom: 28.52
N(E_F), states/eV/f.u.: 19.84

***

# Pm2Cu5Ge3

A geometry-optimized Pm2Cu5Ge3 structure (PBE, the Alexandria database).

abc: 4.2217 4.2217 10.1059
angles: 90.00 90.00 90.00
Fractional coordinates of all 10 atoms:
Cu: 0.0000 0.0000 0.0000
Cu: 0.5000 0.0000 0.8812
Cu: 0.5000 0.5000 0.0000
Cu: 0.5000 0.5000 0.5000
Cu: 0.0000 0.5000 0.1188
Pm: 0.5000 0.0000 0.2308
Pm: 0.0000 0.5000 0.7692
Ge: 0.5000 0.0000 0.6492
Ge: 0.0000 0.0000 0.5000
Ge: 0.0000 0.5000 0.3508

Results
Space-group type: P-4m2 (115)
Energy relative to the elements, kJ/mol of atoms: -23.7
Raw total energy, eV/atom: -4.629
Calculated volume, A^3/atom: 18.01
N(E_F), states/eV/f.u.: 4.25

***

# Pm3CuGe3

A geometry-optimized Pm3CuGe3 structure (PBE, the Alexandria database).

abc: 4.1128 4.3403 9.6312
angles: 103.02 102.33 90.00
Fractional coordinates of all 7 atoms:
Ge: 0.5587 0.5587 0.1173
Ge: 0.8585 0.3585 0.7170
Ge: 0.1496 0.6496 0.2992
Cu: 0.4307 0.4307 0.8614
Pm: 0.6827 0.1827 0.3654
Pm: 0.3186 0.8186 0.6372
Pm: 0.0012 0.0012 0.0025

Results
Space-group type: Imm2 (44)
Energy relative to the elements, kJ/mol of atoms: -70.9
Raw total energy, eV/atom: -5.335
Calculated volume, A^3/atom: 23.35
N(E_F), states/eV/f.u.: 5.86